# ReHg2Te | Alexandria | GGA-PBEsol | relaxed
data_ReHg2Te
_chemical_formula_sum 'Re2 Hg4 Te2'
_symmetry_space_group_name_H-M 'C m m m'
_symmetry_Int_Tables_number 65
_symmetry_space_group_name_Hall '-C 2 2'
_cell_length_a 5.946
_cell_length_b 9.136
_cell_length_c 2.937
_cell_angle_alpha 90.00
_cell_angle_beta 90.00
_cell_angle_gamma 90.00
loop_
_atom_site_label
_atom_site_type_symbol
_atom_site_fract_x
_atom_site_fract_y
_atom_site_fract_z
Re1 Re 0.000 0.000 0.000
Hg1 Hg 0.250 0.250 0.500
Te1 Te 0.000 0.500 0.000
# * offset from the most stable computed form: 60 meV/atom
# * total energy: -3.618 eV/atom
# * ΔE_f (raw): 0.880 eV per atom
# * crystal system: orthorhombic